# 1
VASP calculation (PBE) on a relaxed structure of Nd4GeSeI2. Values from VASP.

Results
Its volume is 249 Å³/f.u. The calculation puts the raw formation energy at -1212 meV per atom. The calculation puts the energy at -4.996 eV per atom.

Cell and atoms, written as Quantum ESPRESSO input:
```
&SYSTEM
  ibrav = 0, nat = 8, ntyp = 4
/
ATOMIC_SPECIES
Se 78.96 Se.upf
Nd 144.24 Nd.upf
Ge 72.64 Ge.upf
I 126.90 I.upf
CELL_PARAMETERS angstrom
4.369 0.000 0.000
0.000 7.460 0.101
0.000 -2.648 7.612
ATOMIC_POSITIONS angstrom
Se 2.184 3.730 0.050
Nd 2.184 1.193 1.515
Ge 0.000 0.000 0.000
I 0.000 2.406 3.857
Nd 2.184 3.619 6.198
Nd 0.000 4.957 1.552
I 2.184 -1.324 3.806
Nd 0.000 -0.146 6.161
```

# 2
VASP calculation (PBE) on a relaxed structure of Nd8Ge3SeI4. Values from VASP.

Results
Its volume is 502 Å³/f.u. The calculation puts the raw formation energy at -1130 meV per atom. The calculation puts the energy at -4.985 eV per atom.

Cell and atoms, written as Quantum ESPRESSO input:
```
&SYSTEM
  ibrav = 0, nat = 16, ntyp = 4
/
ATOMIC_SPECIES
Ge 72.64 Ge.upf
Nd 144.24 Nd.upf
Se 78.96 Se.upf
I 126.90 I.upf
CELL_PARAMETERS angstrom
-0.436 4.306 -7.539
-1.788 -7.856 -4.383
-5.151 2.289 6.617
ATOMIC_POSITIONS angstrom
Ge -3.688 -0.631 -2.653
Nd -3.771 -3.387 -1.717
Se -0.894 -3.928 -2.192
Nd -1.071 1.001 -6.842
Ge -3.469 -2.783 1.117
I -2.793 3.297 -0.461
Ge -1.112 -1.775 -5.961
Nd -3.970 -1.268 -5.506
Nd -6.519 -0.145 -2.170
I -0.218 2.153 -3.769
Nd -6.304 -2.262 1.537
Nd -3.604 2.126 -3.589
I -2.575 1.145 3.309
Nd -0.857 -1.116 -3.135
I 0.000 0.000 0.000
Nd -3.405 0.007 0.201
```

# 3
VASP calculation (PBE) on a relaxed structure of Nd6Ge3Se2I. Values from VASP.

Results
Its volume is 347 Å³/f.u. The calculation puts the raw formation energy at -1268 meV per atom. The calculation puts the energy at -5.516 eV per atom.

Cell and atoms, written as Quantum ESPRESSO input:
```
&SYSTEM
  ibrav = 0, nat = 12, ntyp = 4
/
ATOMIC_SPECIES
Se 78.96 Se.upf
Nd 144.24 Nd.upf
I 126.90 I.upf
Ge 72.64 Ge.upf
CELL_PARAMETERS angstrom
4.324 0.000 0.000
0.000 8.721 0.288
-2.162 -2.538 9.118
ATOMIC_POSITIONS angstrom
Se 2.162 4.128 6.262
Se 0.000 2.056 3.144
Nd 2.162 -0.193 3.247
Nd 0.000 6.312 0.235
Nd 2.162 -0.128 9.171
I 2.162 0.000 0.000
Nd 0.000 6.376 6.160
Nd 2.162 4.309 3.175
Nd 0.000 1.875 6.231
Ge 2.162 4.361 0.144
Ge 2.162 -0.247 6.179
Ge 0.000 6.431 3.227
```

# 4
VASP calculation (PBE) on a relaxed structure of Nd4GeSe2I. Values from VASP.

Results
Its volume is 231 Å³/f.u. The calculation puts the raw formation energy at -1397 meV per atom. The calculation puts the energy at -5.423 eV per atom.

Cell and atoms, written as Quantum ESPRESSO input:
```
&SYSTEM
  ibrav = 0, nat = 8, ntyp = 4
/
ATOMIC_SPECIES
I 126.90 I.upf
Nd 144.24 Nd.upf
Se 78.96 Se.upf
Ge 72.64 Ge.upf
CELL_PARAMETERS angstrom
4.297 0.000 0.000
0.000 7.391 -0.129
0.000 2.624 7.235
ATOMIC_POSITIONS angstrom
I 2.148 3.695 -0.065
Nd 0.000 7.566 5.062
Nd 2.148 3.747 5.218
Se 0.000 2.624 7.235
Ge 0.000 5.007 3.553
Se 2.148 1.312 3.617
Nd 2.148 6.268 1.887
Nd 4.297 2.449 2.043
```

# 5
VASP calculation (PBE) on a relaxed structure of Nd6Si2GeI3. Values from VASP.

Results
Its volume is 377 Å³/f.u. The calculation puts the raw formation energy at -976 meV per atom. The calculation puts the energy at -5.036 eV per atom.

Cell and atoms, written as Quantum ESPRESSO input:
```
&SYSTEM
  ibrav = 0, nat = 12, ntyp = 4
/
ATOMIC_SPECIES
Si 28.09 Si.upf
I 126.90 I.upf
Nd 144.24 Nd.upf
Ge 72.64 Ge.upf
CELL_PARAMETERS angstrom
-0.296 1.565 -4.042
-2.496 -8.306 -3.033
-8.096 4.161 4.538
ATOMIC_POSITIONS angstrom
Si -7.305 -1.449 -2.361
I -1.396 -3.370 -3.538
Nd -7.864 -3.946 -0.952
Nd -3.024 1.367 -1.585
Ge -0.148 0.782 -2.021
Nd -4.478 -2.066 -2.807
I -6.067 2.703 -0.844
Nd -6.410 -0.514 0.270
Si -3.583 -1.131 -0.175
I -4.821 -5.283 -1.692
Nd -10.117 -0.842 -1.920
Nd -0.770 -1.737 -0.616
```

# 6
VASP calculation (PBE) on a relaxed structure of Nd4SiGeI2. Values from VASP.

Results
Its volume is 252 Å³/f.u. The calculation puts the raw formation energy at -989 meV per atom. The calculation puts the energy at -5.016 eV per atom.

Cell and atoms, written as Quantum ESPRESSO input:
```
&SYSTEM
  ibrav = 0, nat = 8, ntyp = 4
/
ATOMIC_SPECIES
Nd 144.24 Nd.upf
I 126.90 I.upf
Si 28.09 Si.upf
Ge 72.64 Ge.upf
CELL_PARAMETERS angstrom
-3.043 -1.532 2.704
3.953 -6.342 0.855
2.412 5.254 5.690
ATOMIC_POSITIONS angstrom
Nd 3.456 -1.434 6.574
I -0.315 1.861 4.197
Si 0.000 0.000 0.000
Nd -0.133 -1.186 2.676
I 3.183 -0.544 3.273
Nd 2.979 2.532 4.786
Ge 0.455 -3.937 1.780
Nd 3.386 -3.620 1.759
```

# 7
VASP calculation (PBE) on a relaxed structure of Nd6SnGe2I3. Values from VASP.

Results
Its volume is 391 Å³/f.u. The calculation puts the raw formation energy at -977 meV per atom. The calculation puts the energy at -4.852 eV per atom.

Cell and atoms, written as Quantum ESPRESSO input:
```
&SYSTEM
  ibrav = 0, nat = 12, ntyp = 4
/
ATOMIC_SPECIES
I 126.90 I.upf
Ge 72.64 Ge.upf
Nd 144.24 Nd.upf
Sn 118.71 Sn.upf
CELL_PARAMETERS angstrom
-0.138 -1.242 -4.245
-1.619 -8.699 2.597
-8.885 4.931 1.154
ATOMIC_POSITIONS angstrom
I -6.344 0.830 -2.342
Ge -7.092 -3.507 -1.049
Nd -6.467 -1.060 0.521
Ge -3.551 -1.503 0.555
Nd -9.969 -3.046 -1.090
I -4.298 -5.840 1.848
Nd -4.175 -3.950 -1.015
Sn -0.069 -0.621 -2.122
Nd -3.196 -0.311 -2.111
Nd -7.447 -4.700 1.617
I -0.878 -4.970 -0.824
Nd -0.674 -1.964 0.596
```

# 8
VASP calculation (PBE) on a relaxed structure of TbNdGeI. Values from VASP.

Results
Its volume is 121 Å³/f.u. The calculation puts the raw formation energy at -986 meV per atom. The calculation puts the energy at -4.878 eV per atom.

Cell and atoms, written as Quantum ESPRESSO input:
```
&SYSTEM
  ibrav = 0, nat = 4, ntyp = 4
/
ATOMIC_SPECIES
Nd 144.24 Nd.upf
I 126.90 I.upf
Ge 72.64 Ge.upf
Tb 158.93 Tb.upf
CELL_PARAMETERS angstrom
-3.477 2.316 0.843
1.536 -2.684 2.934
6.243 4.982 1.289
ATOMIC_POSITIONS angstrom
Nd 2.656 4.099 1.728
I -0.542 2.981 2.381
Ge 5.263 3.620 3.021
Tb 1.510 -1.989 2.951
```

# 9
VASP calculation (PBE) on a relaxed structure of Nd6Ge2Te3I. Values from VASP.

Results
Its volume is 376 Å³/f.u. The calculation puts the raw formation energy at -1231 meV per atom. The calculation puts the energy at -5.299 eV per atom.

Cell and atoms, written as Quantum ESPRESSO input:
```
&SYSTEM
  ibrav = 0, nat = 12, ntyp = 4
/
ATOMIC_SPECIES
Nd 144.24 Nd.upf
Te 127.60 Te.upf
Ge 72.64 Ge.upf
I 126.90 I.upf
CELL_PARAMETERS angstrom
-2.843 -1.447 -3.034
6.477 -5.118 -3.628
-2.579 -5.208 8.093
ATOMIC_POSITIONS angstrom
Nd -2.067 -3.422 0.375
Te 1.817 -3.282 -3.331
Ge 0.233 -8.042 0.423
Ge 0.823 -3.731 1.008
Nd 1.645 -1.596 -0.780
Nd -0.589 -10.177 2.212
Nd 0.893 -5.691 -1.317
Nd 3.123 -8.351 1.056
Nd 0.163 -6.082 2.748
Te -3.105 -5.613 2.392
I -1.421 -0.723 -1.517
Te 4.160 -6.160 -0.961
```

# 10
VASP calculation (PBE) on a relaxed structure of Nd4GeTe2I. Values from VASP.

Results
Its volume is 254 Å³/f.u. The calculation puts the raw formation energy at -1205 meV per atom. The calculation puts the energy at -5.146 eV per atom.

Cell and atoms, written as Quantum ESPRESSO input:
```
&SYSTEM
  ibrav = 0, nat = 8, ntyp = 4
/
ATOMIC_SPECIES
Te 127.60 Te.upf
Ge 72.64 Ge.upf
Nd 144.24 Nd.upf
I 126.90 I.upf
CELL_PARAMETERS angstrom
-3.186 -2.938 0.873
4.942 -4.106 4.216
-0.305 2.549 7.465
ATOMIC_POSITIONS angstrom
Te -0.305 2.549 7.465
Ge 2.318 -0.778 5.841
Nd -2.020 -3.260 4.041
Nd 1.918 -3.739 5.607
Te -1.745 -0.194 4.169
Nd -0.466 -0.755 6.947
I 0.878 -3.522 2.544
Nd 3.472 -1.235 8.513
```

# 11
VASP calculation (PBE) on a relaxed structure of Nd4GeTeI2. Values from VASP.

Results
Its volume is 262 Å³/f.u. The calculation puts the raw formation energy at -1097 meV per atom. The calculation puts the energy at -4.839 eV per atom.

Cell and atoms, written as Quantum ESPRESSO input:
```
&SYSTEM
  ibrav = 0, nat = 8, ntyp = 4
/
ATOMIC_SPECIES
I 126.90 I.upf
Ge 72.64 Ge.upf
Nd 144.24 Nd.upf
Te 127.60 Te.upf
CELL_PARAMETERS angstrom
-1.567 2.732 3.106
-3.123 -6.106 3.796
7.407 1.181 2.699
ATOMIC_POSITIONS angstrom
I 2.142 -2.463 3.247
Ge 0.000 0.000 0.000
Nd 0.050 0.310 2.902
I 2.920 1.956 2.903
Nd -0.841 -4.423 3.466
Nd 2.668 -2.504 6.699
Nd 5.125 -0.503 3.029
Te -2.345 -1.687 3.451
```

# 12
VASP calculation (PBE) on a relaxed structure of Nd8Ge3Te4I. Values from VASP.

Results
Its volume is 496 Å³/f.u. The calculation puts the raw formation energy at -1231 meV per atom. The calculation puts the energy at -5.363 eV per atom.

Cell and atoms, written as Quantum ESPRESSO input:
```
&SYSTEM
  ibrav = 0, nat = 16, ntyp = 4
/
ATOMIC_SPECIES
Nd 144.24 Nd.upf
Te 127.60 Te.upf
I 126.90 I.upf
Ge 72.64 Ge.upf
CELL_PARAMETERS angstrom
8.848 0.000 0.000
0.000 8.928 0.050
-4.424 -4.420 6.260
ATOMIC_POSITIONS angstrom
Nd 2.076 2.202 6.149
Te 4.424 0.000 0.000
Nd -2.076 2.202 6.149
I 0.000 4.464 0.025
Te 0.000 0.000 0.000
Te 2.212 -2.210 3.130
Te -2.212 -2.210 3.130
Ge 2.212 2.254 3.155
Ge -2.212 2.254 3.155
Nd 4.424 0.232 3.099
Nd 2.348 2.307 0.161
Nd 4.424 4.333 3.059
Nd 6.500 2.307 0.161
Ge 4.424 4.464 0.025
Nd 0.000 0.176 3.251
Nd 0.000 4.276 3.211
```

# 13
VASP calculation (PBE) on a relaxed structure of Nd8Ge3TeI4. Values from VASP.

Results
Its volume is 516 Å³/f.u. The calculation puts the raw formation energy at -1072 meV per atom. The calculation puts the energy at -4.906 eV per atom.

Cell and atoms, written as Quantum ESPRESSO input:
```
&SYSTEM
  ibrav = 0, nat = 16, ntyp = 4
/
ATOMIC_SPECIES
I 126.90 I.upf
Nd 144.24 Nd.upf
Ge 72.64 Ge.upf
Te 127.60 Te.upf
CELL_PARAMETERS angstrom
8.828 0.000 0.000
0.000 9.189 0.251
-4.414 -4.413 6.244
ATOMIC_POSITIONS angstrom
I 0.000 0.000 0.000
Nd 4.414 4.359 3.080
Nd 2.346 2.550 0.340
Nd 4.414 0.483 3.265
Nd 0.000 4.293 3.230
Nd 6.482 2.550 0.340
Nd -2.068 2.225 6.155
Nd 0.000 0.417 3.415
Ge -2.207 2.388 3.247
Ge 2.207 2.388 3.247
Te 0.000 4.594 0.126
I 2.207 -2.206 3.122
I -2.207 -2.206 3.122
Nd 2.068 2.225 6.155
Ge 4.414 4.594 0.126
I 4.414 0.000 0.000
```

# 14
VASP calculation (PBE) on a relaxed structure of Nd6Ge2TeI3. Values from VASP.

Results
Its volume is 389 Å³/f.u. The calculation puts the raw formation energy at -1074 meV per atom. The calculation puts the energy at -4.876 eV per atom.

Cell and atoms, written as Quantum ESPRESSO input:
```
&SYSTEM
  ibrav = 0, nat = 12, ntyp = 4
/
ATOMIC_SPECIES
Nd 144.24 Nd.upf
Te 127.60 Te.upf
Ge 72.64 Ge.upf
I 126.90 I.upf
CELL_PARAMETERS angstrom
-1.794 -3.287 -2.329
8.099 -1.498 -4.124
0.879 -4.107 9.291
ATOMIC_POSITIONS angstrom
Nd 3.568 -4.356 3.399
Te -0.897 -1.643 -1.165
Nd 0.144 -3.730 0.978
Nd 5.218 -8.308 3.529
Ge 4.445 -6.443 1.493
Nd 7.041 -5.161 1.860
I 6.755 -3.142 -0.769
Nd 3.616 -4.535 -0.561
I 3.153 -2.392 -3.227
Nd 1.966 -0.583 -0.691
I 0.429 -5.749 3.607
Ge 2.739 -2.449 1.345
```

# 15
VASP calculation (PBE) on a relaxed structure of NdTlGe2I8. Values from VASP.

Results
Its volume is 535 Å³/f.u. The calculation puts the raw formation energy at -681 meV per atom. The calculation puts the energy at -3.079 eV per atom.

Cell and atoms, written as Quantum ESPRESSO input:
```
&SYSTEM
  ibrav = 0, nat = 12, ntyp = 4
/
ATOMIC_SPECIES
Ge 72.64 Ge.upf
I 126.90 I.upf
Tl 204.38 Tl.upf
Nd 144.24 Nd.upf
CELL_PARAMETERS angstrom
-1.032 3.110 -7.004
-7.116 0.933 1.103
1.135 8.967 3.124
ATOMIC_POSITIONS angstrom
Ge -2.961 8.560 -0.483
I -1.788 9.714 -3.108
I -0.989 10.045 1.015
I -6.024 2.966 -3.792
Tl 0.567 4.484 1.562
I -5.225 3.296 0.331
Nd 0.000 0.000 0.000
I -2.444 4.892 -4.851
I -1.726 6.122 -0.580
I -5.287 6.889 -2.197
I -4.568 8.118 2.074
Ge -4.052 4.451 -2.294
```

# 16
VASP calculation (PBE) on a relaxed structure of Nd8ZnGe3I4. Values from VASP.

Results
Its volume is 502 Å³/f.u. The calculation puts the raw formation energy at -900 meV per atom. The calculation puts the energy at -4.617 eV per atom.

Cell and atoms, written as Quantum ESPRESSO input:
```
&SYSTEM
  ibrav = 0, nat = 16, ntyp = 4
/
ATOMIC_SPECIES
I 126.90 I.upf
Nd 144.24 Nd.upf
Ge 72.64 Ge.upf
Zn 65.41 Zn.upf
CELL_PARAMETERS angstrom
-4.598 5.286 -5.217
-6.603 0.454 6.280
8.139 2.158 2.325
ATOMIC_POSITIONS angstrom
I 4.069 1.079 1.163
Nd -0.140 6.296 2.853
Nd -2.922 1.601 0.535
Nd -5.217 4.240 -2.069
Ge -5.601 2.870 0.531
Nd -4.199 5.206 1.663
I 1.771 3.722 -1.446
I -2.299 2.643 -2.608
Nd -1.153 5.318 -0.908
Ge -1.531 3.949 1.694
Nd -1.909 2.580 4.296
Nd 1.137 2.692 1.725
I 0.000 0.000 0.000
Ge 0.768 1.306 4.303
Nd 2.155 3.658 5.457
Zn -3.302 0.227 3.140
```

# 17
VASP calculation (PBE) on a relaxed structure of NiGeI2. Values from VASP.

Results
Its volume is 125 Å³/f.u. The calculation puts the raw formation energy at 287 meV per atom. The calculation puts the energy at -3.087 eV per atom. For the energy above the most stable polymorph in this dataset, the calculation gives 0.0000 eV per atom.

Cell and atoms, written as Quantum ESPRESSO input:
```
&SYSTEM
  ibrav = 0, nat = 8, ntyp = 3
/
ATOMIC_SPECIES
I 126.90 I.upf
Ni 58.69 Ni.upf
Ge 72.64 Ge.upf
CELL_PARAMETERS angstrom
6.633 0.000 0.000
0.000 6.633 0.000
3.316 3.316 5.693
ATOMIC_POSITIONS angstrom
I 4.572 1.658 1.423
Ni 3.316 3.316 0.000
I 2.060 4.974 1.423
Ni 3.316 6.633 2.847
I 4.974 5.376 4.270
Ge 6.633 3.316 2.847
Ge 0.000 0.000 0.000
I 8.291 7.889 4.270
```

# 18
VASP calculation (PBE) on a relaxed structure of NiGeI2. Values from VASP.

Results
Its volume is 96 Å³/f.u. The calculation puts the raw formation energy at 589 meV per atom. The calculation puts the energy at -2.786 eV per atom. For the energy above the most stable polymorph in this dataset, the calculation gives 0.3018 eV per atom.

Cell and atoms, written as Quantum ESPRESSO input:
```
&SYSTEM
  ibrav = 0, nat = 4, ntyp = 3
/
ATOMIC_SPECIES
I 126.90 I.upf
Ge 72.64 Ge.upf
Ni 58.69 Ni.upf
CELL_PARAMETERS angstrom
0.000 3.638 3.638
3.638 0.000 3.638
3.638 3.638 0.000
ATOMIC_POSITIONS angstrom
I 5.457 5.457 5.457
Ge 3.638 3.638 3.638
I 1.819 1.819 1.819
Ni 0.000 0.000 0.000
```

# 19
VASP calculation (PBE) on a relaxed structure of NiGe2I. Values from VASP.

Results
Its volume is 108 Å³/f.u. The calculation puts the raw formation energy at 174 meV per atom. The calculation puts the energy at -3.967 eV per atom. For the energy above the most stable polymorph in this dataset, the calculation gives 0.0000 eV per atom.

Cell and atoms, written as Quantum ESPRESSO input:
```
&SYSTEM
  ibrav = 0, nat = 8, ntyp = 3
/
ATOMIC_SPECIES
Ni 58.69 Ni.upf
Ge 72.64 Ge.upf
I 126.90 I.upf
CELL_PARAMETERS angstrom
-3.931 -3.460 -2.831
4.302 -3.955 -1.139
-1.067 -6.582 3.267
ATOMIC_POSITIONS angstrom
Ni 0.185 -3.708 -1.985
Ge -1.680 -3.857 -0.731
Ni 1.710 -7.122 0.072
I -2.406 -6.875 -0.774
Ge 1.424 -4.995 -0.613
I 0.000 0.000 0.000
Ge -1.030 -10.916 -0.877
Ge -0.107 -8.226 0.815
```

# 20
VASP calculation (PBE) on a relaxed structure of NiGeI3. Values from VASP.

Results
Its volume is 146 Å³/f.u. The calculation puts the raw formation energy at 287 meV per atom. The calculation puts the energy at -2.723 eV per atom. For the energy above the most stable polymorph in this dataset, the calculation gives 0.0000 eV per atom.

Cell and atoms, written as Quantum ESPRESSO input:
```
&SYSTEM
  ibrav = 0, nat = 5, ntyp = 3
/
ATOMIC_SPECIES
Ge 72.64 Ge.upf
Ni 58.69 Ni.upf
I 126.90 I.upf
CELL_PARAMETERS angstrom
-2.760 3.699 2.524
1.366 -2.129 4.613
4.265 3.076 0.157
ATOMIC_POSITIONS angstrom
Ge 1.435 2.323 3.647
Ni 0.000 0.000 0.000
I 0.683 -1.064 2.306
I -1.380 1.850 1.262
I 2.133 1.538 0.078
```